1.
Computed, not measured: a geometry-optimized Ca2TiAlO5 structure at the PBE level of DFT.

Unit cell a=14.509 b=5.723 c=5.427 alpha=90.00 beta=90.00 gamma=90.00
Space group Ima2 (No. 46)
Symmetry-distinct sites (fractional):
Ca: 0.110 0.034 0.000
Ti: 0.000 0.000 0.513
Al: 0.250 0.577 0.970
O: 0.013 0.748 0.761
O: 0.147 0.072 0.538
O: 0.250 0.649 0.642

Values from the calculation:
E_form (uncorrected) (meV per atom): -2977
V (Å³ per atom): 12.518
Calculated density (g cm⁻³): 3.46

2.
Computed, not measured: a geometry-optimized Nb2Si6W structure at the PBE level of DFT.

Unit cell a=4.746 b=8.283 c=6.574 alpha=90.00 beta=90.00 gamma=90.00
Space group C222 (No. 21)
Symmetry-distinct sites (fractional):
Nb: 0.250 0.250 0.167
Si: 0.000 0.339 0.500
Si: 0.240 0.421 0.832
W: 0.000 0.000 0.500

Values from the calculation:
E_form (uncorrected) (meV per atom): -473
V (Å³ per atom): 14.354
Calculated density (g cm⁻³): 6.92

Q: calculated density of number 1 (Ca2TiAlO5)?
A: 3.46 g cm⁻³